[1]
{"formula": "Li2Pm2PtO6", "functional": "PBE", "state": "optimized geometry", "dos_ef_per_ev_fu": 0.000, "formation_energy_uncorrected_mev_per_atom": -2011, "lattice": [[-3.1519, -2.6494, 3.7960], [-3.2173, -4.3136, -1.5509], [1.7094, -5.5207, 1.6974]], "species": ["O", "O", "O", "O", "O", "O", "Pt", "Pm", "Pm", "Li", "Li"], "frac_coords": [[0.7564, 0.7564, 0.2747], [0.2436, 0.2436, 0.7253], [0.7564, 0.2126, 0.2747], [0.7874, 0.2436, 0.7253], [0.2436, 0.7874, 0.7253], [0.2126, 0.7564, 0.2747], [0.0000, 0.0000, 0.0000], [0.2115, 0.2115, 0.3656], [0.7885, 0.7885, 0.6344], [0.5770, 0.5770, 0.2690], [0.4230, 0.4230, 0.7310]]}

***

[2]
{"formula": "Li2PmPuO6", "functional": "PBE", "state": "optimized geometry", "formation_energy_uncorrected_mev_per_atom": -2560, "lattice": [[-1.0165, -3.9372, -3.4924], [-2.0609, -4.6406, 1.7177], [-5.9765, -0.9318, -1.3241]], "species": ["O", "O", "O", "O", "O", "O", "Pm", "Li", "Li", "Pu"], "frac_coords": [[0.9436, 0.5669, 0.2614], [0.5669, 0.2280, 0.2614], [0.2280, 0.9436, 0.2614], [0.4043, 0.6887, 0.8417], [0.6887, 0.0654, 0.8416], [0.0654, 0.4043, 0.8416], [0.8162, 0.8162, 0.5515], [0.6186, 0.6186, 0.1441], [0.0137, 0.0137, 0.9590], [0.3162, 0.3162, 0.0515]]}

***

[3]
{"formula": "Li4PmPu3O12", "functional": "PBE", "state": "optimized geometry", "dos_ef_per_ev_fu": 14.466, "formation_energy_uncorrected_mev_per_atom": -2458, "lattice": [[0.1803, 6.9001, 0.3796], [-2.4686, -1.5573, -6.2665], [-4.7561, -2.0931, 4.5592]], "species": ["O", "O", "O", "O", "O", "O", "O", "O", "O", "O", "O", "O", "Li", "Li", "Li", "Li", "Pm", "Pu", "Pu", "Pu"], "frac_coords": [[0.3322, 0.9712, 0.2348], [0.1053, 0.8947, 0.5000], [0.8947, 0.5000, 0.1053], [0.3350, 0.6650, 0.5000], [0.7652, 0.0288, 0.6678], [0.6650, 0.5000, 0.3350], [0.2348, 0.3322, 0.9712], [0.5000, 0.3350, 0.6650], [0.6678, 0.7652, 0.0288], [0.5000, 0.1053, 0.8947], [0.0288, 0.6678, 0.7652], [0.9712, 0.2348, 0.3322], [0.0642, 0.5000, 0.9358], [0.5000, 0.5000, 0.5000], [0.5000, 0.9358, 0.0642], [0.9358, 0.0642, 0.5000], [0.0000, 0.0000, 0.0000], [0.5571, 0.4429, 0.0000], [0.4429, 0.0000, 0.5571], [0.0000, 0.5571, 0.4429]]}

***

[4]
{"formula": "LiPmPu2O8", "functional": "PBE", "state": "optimized geometry", "dos_ef_per_ev_fu": 16.479, "formation_energy_uncorrected_mev_per_atom": -2193, "lattice": [[6.3683, 0.3362, 0.0000], [-2.5232, 5.8568, 0.0000], [-1.9226, -3.0965, 5.2329]], "species": ["O", "O", "O", "O", "O", "O", "O", "O", "Pu", "Pu", "Li", "Pm"], "frac_coords": [[0.8766, 0.7009, 0.1756], [0.9396, 0.6272, 0.6876], [0.3728, 0.0604, 0.3124], [0.2991, 0.1234, 0.8244], [0.9396, 0.2519, 0.3124], [0.5253, 0.7009, 0.8244], [0.7481, 0.0604, 0.6876], [0.2991, 0.4747, 0.1756], [0.7500, 0.2500, 0.5000], [0.5000, 0.5000, 0.0000], [0.2500, 0.7500, 0.5000], [0.0000, 0.0000, 0.0000]]}

***

[5]
{"formula": "Rb2Li2PmO4", "functional": "PBE", "state": "optimized geometry", "dos_ef_per_ev_fu": 7.786, "formation_energy_uncorrected_mev_per_atom": -1884, "lattice": [[3.5910, 0.0000, 0.0000], [0.0000, 6.7415, 0.2068], [-1.7955, -2.4751, 6.0061]], "species": ["O", "O", "O", "O", "Li", "Li", "Rb", "Rb", "Pm"], "frac_coords": [[0.1952, 0.1296, 0.3904], [0.5243, 0.7902, 0.0486], [0.4757, 0.2098, 0.9514], [0.8048, 0.8704, 0.6096], [0.3175, 0.0138, 0.6351], [0.6825, 0.9862, 0.3649], [0.8604, 0.4294, 0.7208], [0.1396, 0.5706, 0.2792], [0.0000, 0.0000, 0.0000]]}

***

[6]
{"formula": "LiPmRe2O8", "functional": "PBE", "state": "optimized geometry", "dos_ef_per_ev_fu": 2.911, "formation_energy_uncorrected_mev_per_atom": -1976, "lattice": [[5.2783, 0.0000, 0.0000], [0.0000, 5.2783, 0.0000], [-2.6391, -2.6391, 5.7285]], "species": ["O", "O", "O", "O", "O", "O", "O", "O", "Re", "Re", "Li", "Pm"], "frac_coords": [[0.0790, 0.9889, 0.6586], [0.4156, 0.3275, 0.1557], [0.6725, 0.2599, 0.8443], [0.7401, 0.8282, 0.1557], [0.3303, 0.9210, 0.3414], [0.0111, 0.4204, 0.3414], [0.5796, 0.6697, 0.6586], [0.1718, 0.5844, 0.8443], [0.5000, 0.5000, 0.0000], [0.2500, 0.7500, 0.5000], [0.7500, 0.2500, 0.5000], [0.0000, 0.0000, 0.0000]]}

***

[7]
{"formula": "LiPmReO5", "functional": "PBE", "state": "optimized geometry", "dos_ef_per_ev_fu": 0.010, "formation_energy_uncorrected_mev_per_atom": -2121, "lattice": [[6.0627, 0.6784, -0.0183], [-1.1209, 5.9967, -0.0183], [-2.0496, -2.7684, 7.5797]], "species": ["Pm", "Pm", "O", "O", "O", "O", "O", "O", "O", "O", "O", "O", "Re", "Re", "Li", "Li"], "frac_coords": [[0.0000, 0.0000, 0.5000], [0.0000, 0.0000, 0.0000], [0.6565, 0.6924, 0.3565], [0.6924, 0.6565, 0.8565], [0.2754, 0.7553, 0.9262], [0.9064, 0.0936, 0.7500], [0.3435, 0.3076, 0.6435], [0.3076, 0.3435, 0.1435], [0.7246, 0.2447, 0.0738], [0.7553, 0.2754, 0.4262], [0.2447, 0.7246, 0.5738], [0.0936, 0.9064, 0.2500], [0.6178, 0.3822, 0.2500], [0.3822, 0.6178, 0.7500], [0.7008, 0.2992, 0.7500], [0.2992, 0.7008, 0.2500]]}

***

[8]
{"formula": "LiPm2ReO8", "functional": "PBE", "state": "optimized geometry", "formation_energy_uncorrected_mev_per_atom": -2169, "lattice": [[5.3070, 0.0923, 0.0354], [0.0630, 4.3157, -0.1875], [0.0724, -0.3485, 7.0460]], "species": ["O", "O", "O", "O", "O", "O", "O", "O", "Pm", "Pm", "Li", "Re"], "frac_coords": [[0.2263, 0.7160, 0.8696], [0.7737, 0.2840, 0.1304], [0.6039, 0.8850, 0.5237], [0.2969, 0.2311, 0.0784], [0.7031, 0.7689, 0.9216], [0.3961, 0.1150, 0.4763], [0.9673, 0.1980, 0.7716], [0.0327, 0.8020, 0.2284], [0.5174, 0.2674, 0.7895], [0.4826, 0.7326, 0.2105], [0.0000, 0.0000, 0.5000], [0.0000, 0.0000, 0.0000]]}

***

[9]
{"formula": "LiPm2ReO6", "functional": "PBE", "state": "optimized geometry", "dos_ef_per_ev_fu": 1.458, "formation_energy_uncorrected_mev_per_atom": -2311, "lattice": [[-4.7242, -0.6282, -1.7085], [-1.7224, -0.4385, 4.9239], [-0.7590, 5.1758, 0.1955]], "species": ["O", "O", "O", "O", "O", "O", "Re", "Li", "Pm", "Pm"], "frac_coords": [[0.7306, 0.2366, 0.7634], [0.7306, 0.7634, 0.2366], [0.1676, 0.5000, 0.5000], [0.2084, 0.0000, 0.0000], [0.7306, 0.2366, 0.2366], [0.7306, 0.7634, 0.7634], [0.5661, 0.0000, 0.0000], [0.5622, 0.5000, 0.5000], [0.0101, 0.5000, 0.0000], [0.0101, 0.0000, 0.5000]]}

***

[10]
{"formula": "LiPmRh4O8", "functional": "PBE", "state": "optimized geometry", "dos_ef_per_ev_fu": 6.188, "formation_energy_uncorrected_mev_per_atom": -1177, "lattice": [[-2.0369, -5.8127, 1.4672], [1.8749, -4.9738, -3.4402], [3.9028, -4.2125, 2.3909]], "species": ["Rh", "Rh", "Rh", "Rh", "O", "O", "O", "O", "O", "O", "O", "O", "Pm", "Li"], "frac_coords": [[0.5020, 0.0003, 0.4973], [0.0003, 0.0003, 0.4973], [0.6205, 0.6205, 0.1386], [0.0003, 0.5020, 0.4973], [0.7502, 0.2114, 0.2881], [0.2326, 0.2326, 0.3023], [0.2379, 0.2379, 0.7179], [0.8064, 0.2379, 0.7179], [0.2379, 0.8064, 0.7179], [0.7502, 0.7502, 0.2881], [0.7651, 0.7651, 0.7047], [0.2114, 0.7502, 0.2881], [0.3829, 0.3829, 0.8514], [0.0023, 0.0023, 0.9931]]}

***

[11]
{"formula": "Li3Pm3RhO8", "functional": "PBE", "state": "optimized geometry", "dos_ef_per_ev_fu": 7.181, "formation_energy_uncorrected_mev_per_atom": -2276, "lattice": [[6.8356, 0.0000, -0.0001], [-3.4178, 5.9208, -0.0189], [-0.0002, -3.9303, 4.9702]], "species": ["Li", "Li", "Li", "Rh", "O", "O", "O", "O", "O", "O", "O", "O", "Pm", "Pm", "Pm"], "frac_coords": [[0.0000, 0.0000, 0.0000], [0.0000, 0.5000, 0.0000], [0.5000, 0.5000, 0.0000], [0.0000, 0.0000, 0.5000], [0.7755, 0.9930, 0.2684], [0.7755, 0.5510, 0.2684], [0.7825, 0.0070, 0.7316], [0.7462, 0.4924, 0.7387], [0.2245, 0.4490, 0.7316], [0.2245, 0.0070, 0.7316], [0.2538, 0.5076, 0.2613], [0.2175, 0.9930, 0.2684], [0.0000, 0.5000, 0.5000], [0.5000, 0.5000, 0.5000], [0.5000, 0.0000, 0.5000]]}

***

[12]
{"formula": "Li2PmRhO4", "functional": "PBE", "state": "optimized geometry", "dos_ef_per_ev_fu": 0.521, "formation_energy_uncorrected_mev_per_atom": -1752, "lattice": [[-3.5054, -3.3893, -2.4887], [1.3163, -2.9669, -3.8344], [-1.2177, -4.5131, 1.8404]], "species": ["O", "O", "O", "O", "Li", "Li", "Rh", "Pm"], "frac_coords": [[0.0000, 0.4203, 0.1193], [0.0000, 0.8807, 0.5797], [0.5396, 0.5797, 0.8807], [0.4604, 0.1193, 0.4203], [0.5000, 0.2500, 0.7500], [0.5000, 0.7500, 0.2500], [0.0000, 0.5000, 0.5000], [0.0000, 0.0000, 0.0000]]}

***

[13]
{"formula": "LiPm2RhO6", "functional": "PBE", "state": "optimized geometry", "dos_ef_per_ev_fu": 4.954, "formation_energy_uncorrected_mev_per_atom": -2267, "lattice": [[-4.7514, -0.4351, 2.5258], [1.6485, -5.1280, 2.2176], [2.8670, 3.5934, 6.1783]], "species": ["Pm", "Pm", "Pm", "Pm", "O", "O", "O", "O", "O", "O", "O", "O", "O", "O", "O", "O", "Rh", "Rh", "Li", "Li"], "frac_coords": [[0.4812, 0.4224, 0.2482], [0.5188, 0.5776, 0.7518], [0.9812, 0.0776, 0.7482], [0.0188, 0.9224, 0.2518], [0.1023, 0.4683, 0.7529], [0.6023, 0.0317, 0.2529], [0.8029, 0.8149, 0.5501], [0.6971, 0.3149, 0.9499], [0.1971, 0.1851, 0.4499], [0.3224, 0.7085, 0.4462], [0.6776, 0.2915, 0.5538], [0.8977, 0.5317, 0.2471], [0.1776, 0.2085, 0.0538], [0.8224, 0.7915, 0.9462], [0.3029, 0.6851, 0.0501], [0.3977, 0.9683, 0.7471], [0.0000, 0.5000, 0.0000], [0.5000, 0.0000, 0.5000], [0.5000, 0.0000, 0.0000], [0.0000, 0.5000, 0.5000]]}

***

[14]
{"formula": "Li3Pm2RhO6", "functional": "PBE", "state": "optimized geometry", "dos_ef_per_ev_fu": 0.000, "formation_energy_uncorrected_mev_per_atom": -2181, "lattice": [[-0.2804, -5.8528, 0.6084], [1.7371, 3.6535, 4.2823], [-5.2169, 0.9648, 0.3685]], "species": ["Pm", "Pm", "O", "O", "O", "O", "O", "O", "Rh", "Li", "Li", "Li"], "frac_coords": [[0.6656, 0.3344, 0.0000], [0.3344, 0.6656, 0.0000], [0.2515, 0.2515, 0.7541], [0.3550, 0.0538, 0.2390], [0.7485, 0.7485, 0.2459], [0.0538, 0.3550, 0.2390], [0.9462, 0.6450, 0.7610], [0.6450, 0.9462, 0.7610], [0.0000, 0.0000, 0.0000], [0.8827, 0.1173, 0.5000], [0.1173, 0.8827, 0.5000], [0.5000, 0.5000, 0.5000]]}

***

[15]
{"formula": "Li3PmRh2O6", "functional": "PBE", "state": "optimized geometry", "formation_energy_uncorrected_mev_per_atom": -1688, "lattice": [[-0.2186, 2.1362, 2.4588], [1.6394, -4.7951, 4.3118], [5.7188, 1.5219, -2.9809]], "species": ["Li", "Li", "Li", "Pm", "O", "O", "O", "O", "O", "O", "Rh", "Rh"], "frac_coords": [[0.1609, 0.7492, 0.3217], [0.5000, 0.5000, 0.0000], [0.8391, 0.2508, 0.6783], [0.5000, 0.0000, 0.0000], [0.9928, 0.2526, 0.9856], [0.3330, 0.4547, 0.6659], [0.6670, 0.5453, 0.3341], [0.6845, 0.1526, 0.3689], [0.3155, 0.8474, 0.6311], [0.0072, 0.7474, 0.0144], [0.1662, 0.3387, 0.3323], [0.8338, 0.6613, 0.6677]]}

***

[16]
{"formula": "Li2PmRuO4", "functional": "PBE", "state": "optimized geometry", "dos_ef_per_ev_fu": 1.629, "formation_energy_uncorrected_mev_per_atom": -1904, "lattice": [[4.6340, 0.0024, 0.0000], [-0.0020, 3.9841, 0.0002], [-2.3160, -1.9922, 5.0570]], "species": ["O", "O", "O", "O", "Li", "Li", "Ru", "Pm"], "frac_coords": [[0.5595, 0.0595, 0.1190], [0.9848, 0.4849, 0.9697], [0.7586, 0.7585, 0.5172], [0.2374, 0.2372, 0.4747], [0.0395, 0.0397, 0.0789], [0.1941, 0.6940, 0.3882], [0.7628, 0.2627, 0.5256], [0.4634, 0.4634, 0.9268]]}

***

[17]
{"formula": "Li2PmRuO6", "functional": "PBE", "state": "optimized geometry", "dos_ef_per_ev_fu": 4.036, "formation_energy_uncorrected_mev_per_atom": -1705, "lattice": [[5.3593, 0.0000, -0.0477], [0.0000, 5.5224, 0.0000], [-0.0197, 0.0000, 7.8986]], "species": ["Li", "Li", "Li", "Li", "O", "O", "O", "O", "O", "O", "O", "O", "O", "O", "O", "O", "Pm", "Pm", "Ru", "Ru"], "frac_coords": [[0.0265, 0.0253, 0.7372], [0.5265, 0.4747, 0.2372], [0.4735, 0.5253, 0.7628], [0.9735, 0.9747, 0.2628], [0.1180, 0.1958, 0.0828], [0.8795, 0.5914, 0.2228], [0.1205, 0.4086, 0.7772], [0.3820, 0.6958, 0.4172], [0.3795, 0.9086, 0.7228], [0.8139, 0.8654, 0.5559], [0.6861, 0.3654, 0.9441], [0.6180, 0.3042, 0.5828], [0.1860, 0.1346, 0.4441], [0.8820, 0.8042, 0.9172], [0.6205, 0.0914, 0.2772], [0.3140, 0.6346, 0.0559], [0.0000, 0.5000, 0.5000], [0.5000, 0.0000, 0.0000], [0.5000, 0.0000, 0.5000], [0.0000, 0.5000, 0.0000]]}

***

[18]
{"formula": "LiPmRuO4", "functional": "PBE", "state": "optimized geometry", "dos_ef_per_ev_fu": 3.201, "formation_energy_uncorrected_mev_per_atom": -1943, "lattice": [[-6.1605, 0.1582, -0.9541], [2.9609, -5.8393, 0.2925], [-0.7728, 4.4679, 5.7310]], "species": ["O", "O", "O", "O", "O", "O", "O", "O", "Li", "Li", "Ru", "Ru", "Pm", "Pm"], "frac_coords": [[0.7583, 0.5166, 0.3239], [0.2417, 0.4834, 0.6761], [0.2876, 0.0421, 0.2710], [0.2417, 0.4834, 0.3074], [0.2455, 0.9579, 0.7290], [0.7583, 0.5166, 0.6926], [0.7545, 0.0421, 0.2710], [0.7124, 0.9579, 0.7290], [0.9250, 0.8501, 0.1750], [0.0750, 0.1499, 0.8250], [0.5000, 0.5000, 0.5000], [0.0000, 0.5000, 0.5000], [0.5000, 0.0000, 0.5000], [0.5000, 0.0000, 0.0000]]}

***

[19]
{"formula": "Li3Pm3RuO8", "functional": "PBE", "state": "optimized geometry", "dos_ef_per_ev_fu": 6.321, "formation_energy_uncorrected_mev_per_atom": -2315, "lattice": [[-4.8987, 4.5441, -1.4511], [-0.9465, -4.5685, 4.9983], [4.2357, 4.7008, 0.4215]], "species": ["Ru", "O", "O", "O", "O", "O", "O", "O", "O", "Pm", "Pm", "Pm", "Li", "Li", "Li"], "frac_coords": [[0.0000, 0.0000, 0.5000], [0.7464, 0.4928, 0.7391], [0.7764, 0.5528, 0.2698], [0.2236, 0.0066, 0.7302], [0.2236, 0.4472, 0.7302], [0.7830, 0.0066, 0.7302], [0.7764, 0.9934, 0.2698], [0.2170, 0.9934, 0.2698], [0.2536, 0.5072, 0.2609], [0.5000, 0.0000, 0.5000], [0.0000, 0.5000, 0.5000], [0.5000, 0.5000, 0.5000], [0.5000, 0.5000, 0.0000], [0.0000, 0.5000, 0.0000], [0.0000, 0.0000, 0.0000]]}

***

[20]
{"formula": "LiPm2SO6", "functional": "PBE", "state": "optimized geometry", "dos_ef_per_ev_fu": 0.249, "formation_energy_uncorrected_mev_per_atom": -2143, "lattice": [[4.1377, 0.0000, 0.0000], [0.0000, 5.2335, 0.0000], [0.0000, 0.0000, 5.2335]], "species": ["O", "O", "O", "O", "O", "O", "S", "Pm", "Pm", "Li"], "frac_coords": [[0.6743, 0.2305, 0.2305], [0.2456, 0.0000, 0.0000], [0.6743, 0.7695, 0.7695], [0.6743, 0.2305, 0.7695], [0.1341, 0.5000, 0.5000], [0.6743, 0.7695, 0.2305], [0.6346, 0.0000, 0.0000], [0.0654, 0.0000, 0.5000], [0.0654, 0.5000, 0.0000], [0.6044, 0.5000, 0.5000]]}